{"formula": "TbPrNd2Ho", "functional": "GGA-PBE", "state": "optimized geometry", "lattice_angstrom": [[8.325, 0.000, 0.000], [0.000, 6.735, 0.000], [-0.109, 0.000, 6.247]], "species": ["Tb", "Tb", "Pr", "Pr", "Nd", "Nd", "Nd", "Nd", "Ho", "Ho"], "frac_coords": [[0.000, 0.074, 0.250], [0.000, 0.926, 0.750], [0.000, 0.500, 0.000], [0.000, 0.500, 0.500], [0.307, 0.191, 0.744], [0.307, 0.809, 0.244], [0.693, 0.191, 0.756], [0.693, 0.809, 0.256], [0.500, 0.342, 0.250], [0.500, 0.658, 0.750]], "dos_at_fermi_per_ev_cell": 11.92, "formation_enthalpy_0k_mev_per_atom": 271.3, "total_magnetization_mub_per_atom": 0.00}

{"formula": "Tb6Pr2NdHo", "functional": "GGA-PBE", "state": "optimized geometry", "lattice_angstrom": [[4.552, -7.569, 0.000], [4.552, 7.569, 0.000], [-1.516, 0.000, 9.688]], "species": ["Tb", "Tb", "Tb", "Tb", "Tb", "Tb", "Tb", "Tb", "Tb", "Tb", "Tb", "Tb", "Pr", "Pr", "Pr", "Pr", "Nd", "Nd", "Ho", "Ho"], "frac_coords": [[0.020, 0.573, 0.187], [0.122, 0.740, 0.557], [0.260, 0.878, 0.943], [0.296, 0.508, 0.381], [0.427, 0.980, 0.313], [0.492, 0.704, 0.119], [0.508, 0.296, 0.881], [0.573, 0.020, 0.687], [0.704, 0.492, 0.619], [0.740, 0.122, 0.057], [0.878, 0.260, 0.443], [0.980, 0.427, 0.813], [0.195, 0.296, 0.042], [0.296, 0.195, 0.542], [0.704, 0.805, 0.458], [0.805, 0.704, 0.958], [0.017, 0.983, 0.250], [0.983, 0.017, 0.750], [0.407, 0.593, 0.750], [0.593, 0.407, 0.250]], "dos_at_fermi_per_ev_cell": 28.63, "formation_enthalpy_0k_mev_per_atom": 115.9, "total_magnetization_mub_per_atom": 0.00}

{"formula": "Tb2PrNd2Ho2", "functional": "GGA-PBE", "state": "optimized geometry", "lattice_angstrom": [[5.693, -2.550, 0.000], [5.693, 2.550, 0.000], [-1.146, 0.000, 8.001]], "species": ["Tb", "Tb", "Pr", "Nd", "Nd", "Ho", "Ho"], "frac_coords": [[0.072, 0.072, 0.216], [0.928, 0.928, 0.784], [0.500, 0.500, 0.500], [0.357, 0.357, 0.071], [0.643, 0.643, 0.929], [0.215, 0.215, 0.641], [0.785, 0.785, 0.359]], "dos_at_fermi_per_ev_cell": 9.64, "formation_enthalpy_0k_mev_per_atom": 17.5, "total_magnetization_mub_per_atom": 0.00}

{"formula": "Tb4PrNd2Ho", "functional": "GGA-PBE", "state": "optimized geometry", "lattice_angstrom": [[6.866, -6.659, 0.000], [6.866, 6.659, 0.000], [-3.418, 0.000, 5.939]], "species": ["Tb", "Tb", "Tb", "Tb", "Tb", "Tb", "Tb", "Tb", "Pr", "Pr", "Nd", "Nd", "Nd", "Nd", "Ho", "Ho"], "frac_coords": [[0.244, 0.755, 0.999], [0.245, 0.756, 0.501], [0.246, 0.246, 0.494], [0.246, 0.246, 0.994], [0.754, 0.754, 0.006], [0.754, 0.754, 0.506], [0.755, 0.244, 0.499], [0.756, 0.245, 0.001], [0.000, 0.500, 0.000], [0.500, 0.000, 0.500], [0.000, 0.500, 0.500], [0.500, 0.000, 0.000], [0.500, 0.500, 0.000], [0.500, 0.500, 0.500], [0.000, 0.000, 0.000], [0.000, 0.000, 0.500]], "dos_at_fermi_per_ev_cell": 40.23, "formation_enthalpy_0k_mev_per_atom": 403.7, "total_magnetization_mub_per_atom": 0.08}

{"formula": "Tb6PrNdHo2", "functional": "GGA-PBE", "state": "optimized geometry", "lattice_angstrom": [[4.719, -7.605, 0.000], [4.719, 7.605, 0.000], [-0.472, 0.000, 9.156]], "species": ["Tb", "Tb", "Tb", "Tb", "Tb", "Tb", "Tb", "Tb", "Tb", "Tb", "Tb", "Tb", "Pr", "Pr", "Nd", "Nd", "Ho", "Ho", "Ho", "Ho"], "frac_coords": [[0.014, 0.465, 0.820], [0.091, 0.773, 0.564], [0.227, 0.909, 0.936], [0.284, 0.550, 0.400], [0.450, 0.716, 0.100], [0.465, 0.014, 0.320], [0.535, 0.986, 0.680], [0.550, 0.284, 0.900], [0.716, 0.450, 0.600], [0.773, 0.091, 0.064], [0.909, 0.227, 0.436], [0.986, 0.535, 0.180], [0.423, 0.577, 0.750], [0.577, 0.423, 0.250], [0.053, 0.947, 0.250], [0.947, 0.053, 0.750], [0.201, 0.302, 0.061], [0.302, 0.201, 0.561], [0.698, 0.799, 0.439], [0.799, 0.698, 0.939]], "dos_at_fermi_per_ev_cell": 25.32, "formation_enthalpy_0k_mev_per_atom": 123.6, "total_magnetization_mub_per_atom": 0.00}

{"formula": "Pr2Nd3HoTe6", "functional": "GGA-PBE", "state": "optimized geometry", "lattice_angstrom": [[9.764, -2.227, 0.000], [9.764, 2.227, 0.000], [-1.993, 0.000, 8.799]], "species": ["Pr", "Pr", "Nd", "Nd", "Nd", "Ho", "Te", "Te", "Te", "Te", "Te", "Te"], "frac_coords": [[0.170, 0.170, 0.336], [0.830, 0.830, 0.664], [0.173, 0.173, 0.835], [0.500, 0.500, 0.500], [0.827, 0.827, 0.165], [0.500, 0.500, 0.000], [0.002, 0.002, 0.761], [0.336, 0.336, 0.416], [0.340, 0.340, 0.922], [0.660, 0.660, 0.078], [0.664, 0.664, 0.584], [0.998, 0.998, 0.239]], "dos_at_fermi_per_ev_cell": 6.72, "e_form_raw_ev_per_atom": -1.3999, "total_magnetization_mub_per_atom": 0.00}